VASP calculation (PBE-GGA) on a relaxed TbNd12Er6 crystal.

The space group is R-3 (No. 148, hexagonal axes) and the conventional cell measures 12.1419, 12.1419 and 15.3068 Å, with angles of 90.00, 90.00 and 120.00 degrees. The distinct sites, in fractional coordinates, are Tb at (0.0000, 0.0000, 0.0000), Nd at (0.0023, 0.8283, 0.1917), Nd at (0.0474, 0.8495, 0.4162) and Er at (0.0163, 0.4287, 0.6874).

The value obtained for the size of the total moment is 0.0 μB/f.u. The value obtained for the offset from the most stable computed form is 115 meV per atom. The formation energy is 2.50 eV per formula unit. The value obtained for the energy is -0.168 Ha/atom.

VASP calculation (PBE-GGA) on a relaxed TbNd15Er4 crystal.

The space group is P4/mmm (No. 123) and the conventional cell measures 5.154, 5.154 and 25.644 Å, with angles of 90.00, 90.00 and 90.00 degrees. The distinct sites, in fractional coordinates, are Tb at (0.000, 0.000, 0.000), Nd at (0.000, 0.500, 0.100), Nd at (0.000, 0.500, 0.300), Nd at (0.000, 0.500, 0.500), Nd at (0.500, 0.500, 0.000), Nd at (0.500, 0.500, 0.200), Nd at (0.500, 0.500, 0.400), Er at (0.000, 0.000, 0.200) and Er at (0.000, 0.000, 0.400).

The value obtained for the size of the total moment is 0.0 μB/f.u. The formation energy is 0.22 eV per formula unit. The value obtained for the energy is -0.173 Ha/atom.

VASP calculation (PBE-GGA) on a relaxed Tb2Nd7Er2 crystal.

The space group is C2/m (No. 12) and the conventional cell measures 11.491, 11.537 and 6.125 Å, with angles of 90.00, 112.03 and 90.00 degrees. The distinct sites, in fractional coordinates, are Tb at (0.227, 0.000, 0.090), Nd at (0.000, 0.000, 0.500), Nd at (0.076, 0.500, 0.300), Nd at (0.182, 0.232, 0.680) and Er at (0.000, 0.216, 0.000).

The value obtained for the size of the total moment is 0.0 μB/f.u. The value obtained for the offset from the most stable computed form is 0 meV per atom. The formation energy is 1.51 eV per formula unit. The value obtained for the energy is -0.168 Ha/atom.

VASP calculation (PBE-GGA) on a relaxed TbNd4Er crystal.

The space group is Cmmm (No. 65) and the conventional cell measures 11.724, 11.735 and 3.490 Å, with angles of 90.00, 90.00 and 90.00 degrees. The distinct sites, in fractional coordinates, are Tb at (0.000, 0.000, 0.000), Nd at (0.000, 0.262, 0.000), Nd at (0.240, 0.000, 0.500) and Er at (0.000, 0.500, 0.500).

The value obtained for the size of the total moment is 0.0 μB/f.u. The value obtained for the offset from the most stable computed form is 592 meV per atom. The formation energy is 3.67 eV per formula unit. The value obtained for the energy is -0.151 Ha/atom.

VASP calculation (PBE-GGA) on a relaxed Tb3Nd2Er crystal.

The space group is C2/c (No. 15) and the conventional cell measures 10.340, 11.484 and 6.705 Å, with angles of 90.00, 90.33 and 90.00 degrees. The distinct sites, in fractional coordinates, are Tb at (0.000, 0.235, 0.250), Tb at (0.168, 0.001, 0.000), Nd at (0.167, 0.265, 0.747) and Er at (0.000, 0.500, 0.000).

The value obtained for the size of the total moment is 0.0 μB/f.u. The value obtained for the offset from the most stable computed form is 93 meV per atom. The formation energy is 1.14 eV per formula unit. The value obtained for the energy is -0.164 Ha/atom.

VASP calculation (PBE-GGA) on a relaxed Tb3Nd8Er crystal.

The space group is C2/m (No. 12) and the conventional cell measures 7.081, 12.055 and 9.858 Å, with angles of 90.00, 104.08 and 90.00 degrees. The distinct sites, in fractional coordinates, are Tb at (0.000, 0.000, 0.000), Tb at (0.250, 0.250, 0.500), Nd at (0.071, 0.253, 0.834), Nd at (0.181, 0.000, 0.669), Nd at (0.182, 0.500, 0.664) and Er at (0.000, 0.500, 0.000).

The value obtained for the size of the total moment is 0.0 μB/f.u. The formation energy is 1.35 eV per formula unit. The value obtained for the energy is -0.169 Ha/atom.

VASP calculation (PBE-GGA) on a relaxed Tb2Nd4Er5 crystal.

The space group is Immm (No. 71) and the conventional cell measures 3.508, 9.210 and 22.949 Å, with angles of 90.00, 90.00 and 90.00 degrees. The distinct sites, in fractional coordinates, are Tb at (0.000, 0.000, 0.230), Nd at (0.000, 0.000, 0.096), Nd at (0.000, 0.294, 0.500), Er at (0.000, 0.198, 0.353) and Er at (0.000, 0.500, 0.000).

The value obtained for the size of the total moment is 0.0 μB/f.u. The value obtained for the offset from the most stable computed form is 176 meV per atom. The formation energy is 3.10 eV per formula unit. The value obtained for the energy is -0.161 Ha/atom.

VASP calculation (PBE-GGA) on a relaxed Tb4NdEr3 crystal.

The space group is Pmn2_1 (No. 31) and the conventional cell measures 11.297, 7.270 and 6.279 Å, with angles of 90.00, 90.00 and 90.00 degrees. The distinct sites, in fractional coordinates, are Tb at (0.000, 0.125, 0.000), Tb at (0.000, 0.874, 0.497), Tb at (0.248, 0.875, 0.832), Nd at (0.000, 0.375, 0.498), Er at (0.000, 0.625, 0.999) and Er at (0.250, 0.375, 0.832).

The value obtained for the size of the total moment is 0.0 μB/f.u. The value obtained for the offset from the most stable computed form is 0 meV per atom. The formation energy is 0.09 eV per formula unit. The value obtained for the energy is -0.169 Ha/atom.

VASP calculation (PBE-GGA) on a relaxed Tb6Nd5Er crystal.

The space group is Immm (No. 71) and the conventional cell measures 5.103, 10.175 and 15.321 Å, with angles of 90.00, 90.00 and 90.00 degrees. The distinct sites, in fractional coordinates, are Tb at (0.000, 0.248, 0.000), Tb at (0.000, 0.251, 0.334), Nd at (0.000, 0.000, 0.165), Nd at (0.000, 0.000, 0.500), Nd at (0.000, 0.500, 0.167) and Er at (0.000, 0.500, 0.500).

The value obtained for the size of the total moment is 0.0 μB/f.u. The value obtained for the offset from the most stable computed form is 5 meV per atom. The formation energy is 0.22 eV per formula unit. The value obtained for the energy is -0.171 Ha/atom.

VASP calculation (PBE-GGA) on a relaxed TbNd6Er8 crystal.

The space group is R-3 (No. 148, hexagonal axes) and the conventional cell measures 9.0704, 9.0704 and 20.8537 Å, with angles of 90.00, 90.00 and 120.00 degrees. The distinct sites, in fractional coordinates, are Tb at (0.0000, 0.0000, 0.0000), Nd at (0.0624, 0.2486, 0.7107), Er at (0.0000, 0.0000, 0.4234) and Er at (0.0805, 0.5569, 0.8074).

The value obtained for the size of the total moment is 0.0 μB/f.u. The formation energy is 1.84 eV per formula unit. The value obtained for the energy is -0.166 Ha/atom.

VASP calculation (PBE-GGA) on a relaxed Tb2Nd3Er4 crystal.

The space group is C2/m (No. 12) and the conventional cell measures 15.619, 3.573 and 10.694 Å, with angles of 90.00, 103.22 and 90.00 degrees. The distinct sites, in fractional coordinates, are Tb at (0.167, 0.000, 0.220), Nd at (0.000, 0.500, 0.000), Nd at (0.166, 0.000, 0.556), Er at (0.000, 0.500, 0.332) and Er at (0.167, 0.000, 0.889).

The value obtained for the size of the total moment is 0.0 μB/f.u. The value obtained for the offset from the most stable computed form is 0 meV per atom. The formation energy is 0.17 eV per formula unit. The value obtained for the energy is -0.170 Ha/atom.

VASP calculation (PBE-GGA) on a relaxed Tb2Nd6Er3 crystal.

The space group is P-1 (No. 2) and the conventional cell measures 6.253, 8.048 and 8.092 Å, with angles of 107.41, 97.36 and 104.87 degrees. The distinct sites, in fractional coordinates, are Tb at (0.229, 0.411, 0.047), Nd at (0.047, 0.682, 0.409), Nd at (0.136, 0.046, 0.230), Nd at (0.320, 0.771, 0.865), Er at (0.410, 0.138, 0.682) and Er at (0.500, 0.500, 0.500).

The value obtained for the size of the total moment is 0.0 μB/f.u. The value obtained for the offset from the most stable computed form is 0 meV per atom. The formation energy is 0.18 eV per formula unit. The value obtained for the energy is -0.172 Ha/atom.